Record 1
Below is a geometry-optimized CsPuAgTe2 structure, with properties calculated at the GGA-PBE level.

The value obtained for the density is 6.5 g/cm³. The crystal system is orthorhombic. The formation energy from raw total energies is -0.70 eV/atom. Its volume is 38.07 Å³ per atom.

The space group is Cmme (No. 67) and the conventional cell measures 6.457, 17.306 and 6.814 Å, with angles of 90.00, 90.00 and 90.00 degrees. The inequivalent atoms are Cs at (0.000, 0.250, 0.236), Pu at (0.250, 0.000, 0.500), Ag at (0.000, 0.000, 0.000) and Te at (0.000, 0.120, 0.745).

***

Record 2
Below is a geometry-optimized CsPu2AgTe4 structure, with properties calculated at the GGA-PBE level.

The value obtained for the density is 7.2 g/cm³. The crystal system is orthorhombic. The formation energy from raw total energies is -0.90 eV/atom. Its volume is 35.63 Å³ per atom.

The space group is Cmcm (No. 63) and the conventional cell measures 4.587, 15.686 and 15.845 Å, with angles of 90.00, 90.00 and 90.00 degrees. The inequivalent atoms are Cs at (0.000, 0.118, 0.250), Pu at (0.000, 0.370, 0.063), Ag at (0.000, 0.163, 0.750), Te at (0.000, 0.000, 0.000), Te at (0.000, 0.260, 0.601) and Te at (0.000, 0.436, 0.250).

***

> What is the formula in the first record?

CsPuAgTe2